*A*
First-principles (GGA-PBEsol) data for an optimized crystal structure of TcPb2Cl, as listed in Alexandria via LeMat-Bulk.

Calculated values
- ρ: 10.03 Mg/m³

The structure in POSCAR format:
```
TcPb2Cl
1.0
3.163 0.000 0.000
0.000 5.722 0.000
0.000 0.000 10.025
Tc Pb Cl
2 4 2
Direct
0.000 0.000 0.000
0.500 0.500 0.000
0.000 0.000 0.532
0.000 0.500 0.235
0.500 0.000 0.235
0.500 0.500 0.532
0.000 0.500 0.829
0.500 0.000 0.829
```


*B*
First-principles (GGA-PBEsol) data for an optimized crystal structure of TcPb2Cl, as listed in Alexandria via LeMat-Bulk.

Calculated values
- ρ: 10.14 Mg/m³

The structure in POSCAR format:
```
TcPb2Cl
1.0
4.626 0.000 0.000
0.000 4.626 0.000
0.000 0.000 8.386
Tc Pb Cl
2 4 2
Direct
0.000 0.000 0.000
0.500 0.500 0.500
0.000 0.500 0.250
0.000 0.500 0.750
0.500 0.000 0.250
0.500 0.000 0.750
0.000 0.000 0.500
0.500 0.500 0.000
```


It comes down to *A*, which is 24.1 kJ/mol of atoms more stable than the next structure.


*A*
First-principles (GGA-PBEsol) data for an optimized crystal structure of TePbCl2, as listed in Alexandria via LeMat-Bulk.

Calculated values
- ρ: 5.67 Mg/m³

The structure in POSCAR format:
```
TePbCl2
1.0
3.377 0.000 0.000
0.000 3.377 0.000
0.000 0.000 10.420
Te Pb Cl
1 1 2
Direct
0.000 0.000 0.000
0.000 0.000 0.500
0.500 0.500 0.335
0.500 0.500 0.665
```


*B*
First-principles (GGA-PBEsol) data for an optimized crystal structure of TePbCl2, as listed in Alexandria via LeMat-Bulk.

Calculated values
- ρ: 6.69 Mg/m³

The structure in POSCAR format:
```
TePbCl2
1.0
3.494 0.000 0.000
0.000 6.015 0.000
0.000 0.000 9.589
Te Pb Cl
2 2 4
Direct
0.000 0.000 0.000
0.500 0.500 0.500
0.000 0.000 0.500
0.500 0.500 0.000
0.000 0.500 0.239
0.000 0.500 0.761
0.500 0.000 0.261
0.500 0.000 0.739
```


*C*
First-principles (GGA-PBEsol) data for an optimized crystal structure of TePbCl2, as listed in Alexandria via LeMat-Bulk.

Calculated values
- ρ: 6.26 Mg/m³

The structure in POSCAR format:
```
TePbCl2
1.0
3.623 0.000 0.000
-1.811 3.137 0.000
0.000 0.000 28.399
Te Pb Cl
3 3 6
Direct
0.000 0.000 0.000
0.333 0.667 0.667
0.667 0.333 0.333
0.000 0.000 0.757
0.333 0.667 0.424
0.667 0.333 0.091
0.000 0.000 0.260
0.000 0.000 0.491
0.333 0.667 0.158
0.333 0.667 0.927
0.667 0.333 0.593
0.667 0.333 0.824
```


It comes down to *A*, which is 10.4 kJ/mol of atoms more stable than the next structure.


*A*
First-principles (GGA-PBEsol) data for an optimized crystal structure of TePb2Cl, as listed in Alexandria via LeMat-Bulk.

Calculated values
- ρ: 8.12 Mg/m³

The structure in POSCAR format:
```
TePb2Cl
1.0
8.962 0.000 0.000
0.000 4.112 0.000
-1.849 0.000 6.408
Te Pb Cl
2 4 2
Direct
0.000 0.000 0.000
0.500 0.500 0.000
0.249 0.500 0.261
0.251 0.000 0.739
0.749 0.000 0.261
0.751 0.500 0.739
0.000 0.500 0.500
0.500 0.000 0.500
```


*B*
First-principles (GGA-PBEsol) data for an optimized crystal structure of TePb2Cl, as listed in Alexandria via LeMat-Bulk.

Calculated values
- ρ: 7.59 Mg/m³

The structure in POSCAR format:
```
TePb2Cl
1.0
3.931 0.000 0.000
-1.965 3.404 0.000
0.000 0.000 28.305
Te Pb Cl
3 6 3
Direct
0.000 0.000 0.000
0.333 0.667 0.667
0.667 0.333 0.333
0.000 0.000 0.267
0.000 0.000 0.500
0.333 0.667 0.167
0.333 0.667 0.934
0.667 0.333 0.601
0.667 0.333 0.833
0.000 0.000 0.768
0.333 0.667 0.434
0.667 0.333 0.101
```


It comes down to *A*, which is 21.0 kJ/mol of atoms more stable than the next structure.


*A*
First-principles (GGA-PBEsol) data for an optimized crystal structure of TlPb2Cl, as listed in Alexandria via LeMat-Bulk.

Calculated values
- ρ: 10.01 Mg/m³

The structure in POSCAR format:
```
TlPb2Cl
1.0
7.945 0.000 0.000
0.000 7.983 0.000
0.000 0.000 3.423
Tl Pb Cl
2 4 2
Direct
0.000 0.000 0.000
0.500 0.500 0.000
0.250 0.250 0.500
0.250 0.750 0.500
0.750 0.250 0.500
0.750 0.750 0.500
0.000 0.500 0.000
0.500 0.000 0.000
```


*B*
First-principles (GGA-PBEsol) data for an optimized crystal structure of TlPb2Cl, as listed in Alexandria via LeMat-Bulk.

Calculated values
- ρ: 9.64 Mg/m³

The structure in POSCAR format:
```
TlPb2Cl
1.0
4.507 0.000 0.000
0.000 4.507 0.000
0.000 0.000 5.549
Tl Pb Cl
1 2 1
Direct
0.000 0.000 0.000
0.000 0.500 0.500
0.500 0.000 0.500
0.500 0.500 0.000
```


It comes down to *A*, which is 5.8 kJ/mol of atoms more stable than the next structure.


*A*
First-principles (GGA-PBEsol) data for an optimized crystal structure of PbWCl, as listed in Alexandria via LeMat-Bulk.

Calculated values
- ρ: 10.77 Mg/m³

The structure in POSCAR format:
```
PbWCl
1.0
6.407 0.000 0.000
0.000 6.407 0.000
0.000 0.000 6.407
Pb W Cl
4 4 4
Direct
0.000 0.000 0.000
0.000 0.500 0.500
0.500 0.000 0.500
0.500 0.500 0.000
0.000 0.000 0.500
0.000 0.500 0.000
0.500 0.000 0.000
0.500 0.500 0.500
0.250 0.250 0.250
0.250 0.750 0.750
0.750 0.250 0.750
0.750 0.750 0.250
```


*B*
First-principles (GGA-PBEsol) data for an optimized crystal structure of PbWCl, as listed in Alexandria via LeMat-Bulk.

Calculated values
- ρ: 10.93 Mg/m³

The structure in POSCAR format:
```
PbWCl
1.0
3.030 0.000 0.000
0.000 5.431 0.000
0.000 0.000 15.746
Pb W Cl
4 4 4
Direct
0.000 0.000 0.000
0.000 0.500 0.500
0.500 0.000 0.500
0.500 0.500 0.000
0.000 0.000 0.335
0.000 0.500 0.835
0.500 0.000 0.835
0.500 0.500 0.335
0.000 0.000 0.717
0.000 0.500 0.217
0.500 0.000 0.217
0.500 0.500 0.717
```


It comes down to *B*, which is 129.4 kJ/mol of atoms more stable than the next structure.


*A*
First-principles (GGA-PBEsol) data for an optimized crystal structure of YPbCl, as listed in Alexandria via LeMat-Bulk.

Calculated values
- ρ: 6.36 Mg/m³

The structure in POSCAR format:
```
YPbCl
1.0
3.655 0.000 0.000
-1.828 3.165 0.000
0.000 0.000 7.487
Y Pb Cl
1 1 1
Direct
0.000 0.000 0.000
0.667 0.333 0.328
0.333 0.667 0.771
```


*B*
First-principles (GGA-PBEsol) data for an optimized crystal structure of YPbCl, as listed in Alexandria via LeMat-Bulk.

Calculated values
- ρ: 6.29 Mg/m³

The structure in POSCAR format:
```
YPbCl
1.0
7.049 0.000 0.000
0.000 7.049 0.000
0.000 0.000 7.049
Y Pb Cl
4 4 4
Direct
0.000 0.000 0.000
0.000 0.500 0.500
0.500 0.000 0.500
0.500 0.500 0.000
0.250 0.250 0.750
0.250 0.750 0.250
0.750 0.250 0.250
0.750 0.750 0.750
0.250 0.250 0.250
0.250 0.750 0.750
0.750 0.250 0.750
0.750 0.750 0.250
```


It comes down to *A*, which is 60.5 kJ/mol of atoms more stable than the next structure.


*A*
First-principles (GGA-PBEsol) data for an optimized crystal structure of YPb2Cl, as listed in Alexandria via LeMat-Bulk.

Calculated values
- ρ: 8.16 Mg/m³

The structure in POSCAR format:
```
YPb2Cl
1.0
3.405 0.000 0.000
0.000 4.459 0.000
0.000 0.000 14.451
Y Pb Cl
2 4 2
Direct
0.000 0.000 0.000
0.500 0.500 0.500
0.000 0.500 0.302
0.000 0.500 0.698
0.500 0.000 0.198
0.500 0.000 0.802
0.000 0.000 0.500
0.500 0.500 0.000
```


*B*
First-principles (GGA-PBEsol) data for an optimized crystal structure of YPb2Cl, as listed in Alexandria via LeMat-Bulk.

Calculated values
- ρ: 8.19 Mg/m³

The structure in POSCAR format:
```
YPb2Cl
1.0
3.540 0.000 0.000
0.000 3.540 0.000
0.000 0.000 8.712
Y Pb Cl
1 2 1
Direct
0.000 0.000 0.000
0.000 0.000 0.515
0.500 0.500 0.752
0.500 0.500 0.159
```


It comes down to *B*, which is 2.7 kJ/mol of atoms more stable than the next structure.